## DySc2Bi (GGA-PBE)

Data for an optimized crystal structure of DySc2Bi.

Cell lengths 3.871, 3.871, 7.003 Å; angles 90.00, 90.00, 90.00 degrees
Atoms (fractional coordinates):
Bi  0.500  0.500  0.000
Sc  0.000  0.000  0.227
Sc  0.000  0.000  0.773
Dy  0.500  0.500  0.500

Summary:
The calculation puts the relative energy among the computed polymorphs at 179 meV per atom. The spin magnetization is 0.00 μB/f.u. The calculation puts the formation energy from the elements at -0.2817 eV per atom. The value obtained for the calculated density is 7.30 g/cm3.

## DySc2Bi (GGA-PBE)

Data for an optimized crystal structure of DySc2Bi.

Cell lengths 3.390, 3.390, 11.542 Å; angles 81.56, 81.56, 60.00 degrees
Atoms (fractional coordinates):
Sc  0.094  0.094  0.719
Sc  0.906  0.906  0.281
Bi  0.500  0.500  0.500
Dy  0.000  0.000  0.000

Summary:
The calculation puts the relative energy among the computed polymorphs at 609 meV per atom. The spin magnetization is 1.74 μB/f.u. The calculation puts the formation energy from the elements at 0.1477 eV per atom. The value obtained for the calculated density is 6.77 g/cm3.

## DyScBi (GGA-PBE)

Data for an optimized crystal structure of DyScBi.

Cell lengths 3.891, 5.009, 5.009 Å; angles 120.00, 90.00, 90.00 degrees
Atoms (fractional coordinates):
Bi  0.245  0.333  0.667
Dy  0.641  0.667  0.333
Sc  0.113  0.000  0.000

Summary:
The spin magnetization is 0.00 μB/f.u. The calculation puts the formation energy from the elements at -0.2721 eV per atom. The value obtained for the calculated density is 8.18 g/cm3.

## Dy2Sc3Bi2 (GGA-PBE)

Data for an optimized crystal structure of Dy2Sc3Bi2.

Cell lengths 4.246, 6.248, 8.235 Å; angles 109.30, 90.00, 109.86 degrees
Atoms (fractional coordinates):
Dy  0.118  0.235  0.762
Dy  0.882  0.765  0.238
Sc  0.500  0.000  0.000
Sc  0.376  0.752  0.559
Sc  0.624  0.248  0.441
Bi  0.830  0.659  0.802
Bi  0.170  0.341  0.198

Summary:
The spin magnetization is 0.00 μB/f.u. The calculation puts the formation energy from the elements at -0.4422 eV per atom. The value obtained for the calculated density is 7.58 g/cm3.